[1]
CsRbCd2 after structural relaxation, computed with PBE-GGA.

Unit cell a=6.5591 b=6.5591 c=4.5695 alpha=90.00 beta=90.00 gamma=90.00
Last column: nearest neighbours and their distance in Å.
Space group P4/mmm (No. 123)
Unique sites:
Cs (0.0000, 0.0000, 0.0000) x1  8 Cd 4.00
Rb (0.5000, 0.5000, 0.0000) x1  8 Cd 4.00
Cd (0.0000, 0.5000, 0.5000) x2  4 Rb 4.00, 4 Cs 4.00

Excess energy over the best structure of this formula in the dataset, meV per atom: 100



[2]
CsRbCd after structural relaxation, computed with PBE-GGA.

Unit cell a=6.4286 b=6.4286 c=5.4477 alpha=90.00 beta=90.00 gamma=120.00
Last column: nearest neighbours and their distance in Å.
Space group P3m1 (No. 156)
Unique sites:
Cs (0.0000, 0.0000, 0.0000) x1  3 Cd 4.12, 3 Rb 4.48
Rb (0.6667, 0.3333, 0.4617) x1  3 Cd 3.88
Cd (0.3333, 0.6667, 0.6700) x1  3 Rb 3.88, 3 Cs 4.12

Excess energy over the best structure of this formula in the dataset, meV per atom: 87



[3]
CsRb2Cd after structural relaxation, computed with PBE-GGA.

Unit cell a=9.2218 b=5.3499 c=13.0086 alpha=90.00 beta=103.46 gamma=90.00
Last column: nearest neighbours and their distance in Å.
Space group Cm (No. 8)
Unique sites:
Cs (0.0000, 0.0000, 0.0000) x2  6 Rb 5.15-5.20, 6 Cs 5.33-5.35
Rb (0.2256, 0.0000, 0.6728) x2  3 Cd 3.77
Rb (0.4443, 0.0000, 0.3296) x2  3 Cd 3.77
Cd (0.3349, 0.5000, 0.5012) x2  6 Rb 3.77

E, eV per atom: -0.8769



Please write out number 2 again, unchanged.
CsRbCd after structural relaxation, computed with PBE-GGA.

Unit cell a=6.4286 b=6.4286 c=5.4477 alpha=90.00 beta=90.00 gamma=120.00
Last column: nearest neighbours and their distance in Å.
Space group P3m1 (No. 156)
Unique sites:
Cs (0.0000, 0.0000, 0.0000) x1  3 Cd 4.12, 3 Rb 4.48
Rb (0.6667, 0.3333, 0.4617) x1  3 Cd 3.88
Cd (0.3333, 0.6667, 0.6700) x1  3 Rb 3.88, 3 Cs 4.12

Excess energy over the best structure of this formula in the dataset, meV per atom: 87